DyHoSb after structural relaxation. Source: OQMD, functional PBE-GGA. Values from VASP.

The structure in Quantum ESPRESSO input format:
```
&SYSTEM
  ibrav = 0, nat = 3, ntyp = 3
/
ATOMIC_SPECIES
Sb 121.76 Sb.upf
Ho 164.93 Ho.upf
Dy 162.50 Dy.upf
CELL_PARAMETERS angstrom
0.000 3.571 3.571
3.571 0.000 3.571
3.571 3.571 0.000
ATOMIC_POSITIONS crystal
Sb 0.250 0.250 0.250
Ho 0.000 0.000 0.000
Dy 0.500 0.500 0.500
```

Output
crystal system = cubic
calculated density = 8.2 g cm⁻³
calculated total energy = -0.364 Ry per atom

=====

DyHo2Sb3 after structural relaxation. Source: OQMD, functional PBE-GGA. Values from VASP.

The structure in Quantum ESPRESSO input format:
```
&SYSTEM
  ibrav = 0, nat = 6, ntyp = 3
/
ATOMIC_SPECIES
Ho 164.93 Ho.upf
Dy 162.50 Dy.upf
Sb 121.76 Sb.upf
CELL_PARAMETERS angstrom
4.366 0.000 0.000
-2.183 3.781 0.000
0.000 0.000 10.697
ATOMIC_POSITIONS crystal
Ho 0.667 0.333 0.166
Ho 0.333 0.667 0.834
Dy 0.000 0.000 0.500
Sb 0.667 0.333 0.667
Sb 0.000 0.000 0.000
Sb 0.333 0.667 0.333
```

Output
crystal system = trigonal
calculated density = 8.1 g cm⁻³
calculated total energy = -0.402 Ry per atom

=====

Dy3Ho2Sb3 after structural relaxation. Source: OQMD, functional PBE-GGA. Values from VASP.

The structure in Quantum ESPRESSO input format:
```
&SYSTEM
  ibrav = 0, nat = 16, ntyp = 3
/
ATOMIC_SPECIES
Sb 121.76 Sb.upf
Ho 164.93 Ho.upf
Dy 162.50 Dy.upf
CELL_PARAMETERS angstrom
8.955 0.000 0.000
-4.477 7.755 0.000
0.000 0.000 6.284
ATOMIC_POSITIONS crystal
Sb 0.000 0.390 0.250
Sb 0.610 0.610 0.250
Sb 0.390 0.390 0.750
Sb 0.610 0.000 0.750
Sb 0.390 0.000 0.250
Sb 0.000 0.610 0.750
Ho 0.333 0.667 0.000
Ho 0.333 0.667 0.500
Ho 0.667 0.333 0.500
Ho 0.667 0.333 0.000
Dy 0.753 0.000 0.250
Dy 0.753 0.753 0.750
Dy 0.247 0.000 0.750
Dy 0.247 0.247 0.250
Dy 0.000 0.247 0.750
Dy 0.000 0.753 0.250
```

Output
crystal system = hexagonal
calculated density = 9.0 g cm⁻³
calculated total energy = -0.392 Ry per atom

=====

DyHoSb2 after structural relaxation. Source: OQMD, functional PBE-GGA. Values from VASP.

The structure in Quantum ESPRESSO input format:
```
&SYSTEM
  ibrav = 0, nat = 4, ntyp = 3
/
ATOMIC_SPECIES
Sb 121.76 Sb.upf
Dy 162.50 Dy.upf
Ho 164.93 Ho.upf
CELL_PARAMETERS angstrom
4.370 0.000 0.000
0.000 4.370 0.000
0.000 0.000 6.181
ATOMIC_POSITIONS crystal
Sb 0.000 0.000 0.000
Sb 0.500 0.500 0.500
Dy 0.000 0.000 0.500
Ho 0.500 0.500 0.000
```

Output
crystal system = tetragonal
calculated density = 8.0 g cm⁻³
calculated total energy = -0.403 Ry per atom